Entry 1:
Computed, not measured: an optimized crystal structure of ZrIn2Ag at the GGA-PBEsol level of DFT.

Output
The space-group type is Cmmm (65). The total energy comes out at -38.251 eV for the cell shown. The density of states at the Fermi level comes out at 0.449 states/eV/atom.

abc: 6.318 8.665 3.007
angles: 90.00 90.00 90.00
Fractional coordinates of all 8 atoms:
Zr 0.000 0.000 0.000
Zr 0.500 0.500 0.000
In 0.250 0.250 0.500
In 0.250 0.750 0.500
In 0.750 0.250 0.500
In 0.750 0.750 0.500
Ag 0.000 0.500 0.000
Ag 0.500 0.000 0.000

=====

Entry 2:
Computed, not measured: an optimized crystal structure of ZrIn2Ag at the GGA-PBEsol level of DFT.

Output
The space-group type is Fm-3m (225). The total energy comes out at -74.008 eV for the cell shown. The density of states at the Fermi level comes out at 0.644 states/eV/atom.

abc: 6.885 6.885 6.885
angles: 90.00 90.00 90.00
Fractional coordinates of all 16 atoms:
Zr 0.000 0.000 0.000
Zr 0.000 0.500 0.500
Zr 0.500 0.000 0.500
Zr 0.500 0.500 0.000
In 0.250 0.250 0.250
In 0.250 0.250 0.750
In 0.250 0.750 0.250
In 0.250 0.750 0.750
In 0.750 0.250 0.250
In 0.750 0.250 0.750
In 0.750 0.750 0.250
In 0.750 0.750 0.750
Ag 0.000 0.000 0.500
Ag 0.000 0.500 0.000
Ag 0.500 0.000 0.000
Ag 0.500 0.500 0.500

=====

- total energy of number 1 (ZrIn2Ag)?
  -38.251 eV for the cell shown